Entry 1:
SrCu3H | PBE | relaxed

## Properties
Mass density (g/cm³): 5.92
Total moment (μB/cell): 0.0
Total DFT energy (no corrections) (eV/atom): -3.0628
Distance to the lowest polymorph of the same formula (meV/atom): 0.0

```
SrCu3H
1.0
4.278 0.000 0.000
0.000 4.278 0.000
0.000 0.000 4.278
Sr Cu H
1 3 1
Direct
0.500 0.500 0.500
0.000 0.500 0.000
0.000 0.000 0.500
0.500 0.000 0.000
0.000 0.000 0.000
```


Entry 2:
La6Ir2RuBr2 | PBE | relaxed

## Properties
Raw formation energy (eV/atom): -0.932
Mass density (g/cm³): 6.85
Total moment (μB/cell): 0.4
Total DFT energy (no corrections) (eV/atom): -6.3785

```
La6Ir2RuBr2
1.0
7.296 -0.034 0.073
-3.636 6.326 0.073
-1.299 -2.233 7.734
La Ir Ru Br
6 2 1 2
Direct
0.738 0.738 0.695
0.064 0.395 0.696
0.262 0.262 0.305
0.395 0.064 0.696
0.936 0.605 0.304
0.605 0.936 0.304
0.331 0.669 0.500
0.669 0.331 0.500
0.000 0.000 0.500
0.834 0.166 0.000
0.166 0.834 0.000
```


Entry 3:
BeCdF3 | PBE | relaxed

## Properties
Raw formation energy (eV/atom): -2.049
Mass density (g/cm³): 5.46
Total moment (μB/cell): 0.0
Total DFT energy (no corrections) (eV/atom): -4.1003
Distance to the lowest polymorph of the same formula (meV/atom): 453.4

```
BeCdF3
1.0
3.785 0.000 0.000
0.000 3.785 0.000
0.000 0.000 3.785
Be F Cd
1 3 1
Direct
0.000 0.000 0.000
0.000 0.500 0.000
0.000 0.000 0.500
0.500 0.000 0.000
0.500 0.500 0.500
```


Entry 4:
LaTb4Pd2 | PBE | relaxed

## Properties
Mass density (g/cm³): 8.42
Formation enthalpy at 0 K (eV/atom): -0.42
Total moment (μB/cell): 0.0
Total DFT energy (no corrections) (eV/atom): -5.2509

```
LaTb4Pd2
1.0
-1.494 -3.504 5.322
0.908 -6.522 -4.039
7.087 2.355 3.540
La Tb Pd
2 8 4
Direct
0.250 0.863 0.979
0.750 0.137 0.021
0.504 0.401 0.764
0.250 0.244 0.351
0.750 0.756 0.649
0.996 0.401 0.764
0.750 0.030 0.398
0.004 0.599 0.236
0.496 0.599 0.236
0.250 0.970 0.602
0.250 0.276 0.002
0.750 0.724 0.998
0.750 0.390 0.419
0.250 0.610 0.581
```


Entry 5:
Tl3Co | PBE | relaxed

## Properties
Mass density (g/cm³): 10.75
Formation enthalpy at 0 K (eV/atom): 0.30
Total moment (μB/cell): 3.1
Total DFT energy (no corrections) (eV/atom): -3.2487

```
Tl3Co
1.0
-5.515 2.963 4.391
1.054 -6.919 3.081
2.521 1.379 2.235
Tl Co
6 2
Direct
0.624 0.376 0.750
0.067 0.335 0.750
0.665 0.933 0.750
0.376 0.624 0.250
0.933 0.665 0.250
0.335 0.067 0.250
0.054 0.946 0.750
0.946 0.054 0.250
```


Entry 6:
SrCoSbTe2 | PBE | relaxed

## Properties
Raw formation energy (eV/atom): -0.363
Mass density (g/cm³): 6.13
Total moment (μB/cell): 0.0
Total DFT energy (no corrections) (eV/atom): -4.2015
Distance to the lowest polymorph of the same formula (meV/atom): 0.0

```
SrCoSbTe2
1.0
-3.488 1.895 3.809
-3.866 -3.467 -1.816
1.512 -3.262 3.007
Sb Te Co Sr
1 2 1 1
Direct
0.000 0.000 0.500
0.000 0.500 0.000
0.500 0.000 0.000
0.000 0.000 0.000
0.500 0.500 0.500
```